(1)
! NbH (PBE-GGA, optimized geometry); values from VASP
! Energy, eV/atom: -6.356
! Symmetry: I-43m (217)
! Crystal system: cubic
&SYSTEM
  ibrav = 0, nat = 8, ntyp = 2
/
ATOMIC_SPECIES
Nb 92.91 Nb.upf
H 1.01 H.upf
ATOMIC_POSITIONS crystal
Nb 0.0000 0.0000 0.4132
Nb 0.0000 0.4132 0.0000
Nb 0.4132 0.0000 0.0000
Nb 0.5868 0.5868 0.5868
H 0.0000 0.0000 0.7748
H 0.0000 0.7748 0.0000
H 0.2252 0.2252 0.2252
H 0.7748 0.0000 0.0000
CELL_PARAMETERS angstrom
-2.8800 2.8800 2.8800
2.8800 -2.8800 2.8800
2.8800 2.8800 -2.8800


(2)
! NbH (PBE-GGA, optimized geometry); values from VASP
! Energy, eV/atom: -6.892
! Symmetry: Cmme (67)
! Crystal system: orthorhombic
&SYSTEM
  ibrav = 0, nat = 4, ntyp = 2
/
ATOMIC_SPECIES
Nb 92.91 Nb.upf
H 1.01 H.upf
ATOMIC_POSITIONS crystal
Nb 0.2500 0.7500 0.7690
Nb 0.7500 0.2500 0.2310
H 0.2500 0.2500 0.5000
H 0.7500 0.7500 0.5000
CELL_PARAMETERS angstrom
1.8424 -2.3878 0.0000
1.8424 2.3878 0.0000
0.0000 0.0000 4.7927


(3)
! NbH (PBE-GGA, optimized geometry); values from VASP
! Energy, eV/atom: -6.765
! Symmetry: P6_3mc (186)
! Crystal system: hexagonal
&SYSTEM
  ibrav = 0, nat = 4, ntyp = 2
/
ATOMIC_SPECIES
Nb 92.91 Nb.upf
H 1.01 H.upf
ATOMIC_POSITIONS crystal
Nb 0.3333 0.6667 0.0000
Nb 0.6667 0.3333 0.5000
H 0.3333 0.6667 0.6547
H 0.6667 0.3333 0.1547
CELL_PARAMETERS angstrom
3.0225 0.0000 0.0000
-1.5113 2.6176 0.0000
0.0000 0.0000 5.5578


(4)
! NbH (PBE-GGA, optimized geometry); values from VASP
! Energy, eV/atom: -6.947
! Symmetry: Pmmn (59)
! Crystal system: orthorhombic
&SYSTEM
  ibrav = 0, nat = 12, ntyp = 2
/
ATOMIC_SPECIES
Nb 92.91 Nb.upf
H 1.01 H.upf
ATOMIC_POSITIONS crystal
Nb 0.2500 0.0834 0.2350
Nb 0.2500 0.4166 0.2350
Nb 0.2500 0.7500 0.2703
Nb 0.7500 0.2500 0.7297
Nb 0.7500 0.5834 0.7650
Nb 0.7500 0.9166 0.7650
H 0.2500 0.2500 0.9765
H 0.2500 0.5800 0.5126
H 0.2500 0.9200 0.5126
H 0.7500 0.0800 0.4874
H 0.7500 0.4200 0.4874
H 0.7500 0.7500 0.0235
CELL_PARAMETERS angstrom
3.4871 0.0000 0.0000
0.0000 10.3761 0.0000
0.0000 0.0000 3.4681


(5)
! NbH (PBE-GGA, optimized geometry); values from VASP
! Energy, eV/atom: -6.858
! Symmetry: Pmn2_1 (31)
! Crystal system: orthorhombic
&SYSTEM
  ibrav = 0, nat = 12, ntyp = 2
/
ATOMIC_SPECIES
Nb 92.91 Nb.upf
H 1.01 H.upf
ATOMIC_POSITIONS crystal
Nb 0.0000 0.0083 0.0000
Nb 0.1671 0.3462 0.4675
Nb 0.3329 0.6538 0.9675
Nb 0.5000 0.9917 0.5000
Nb 0.6671 0.6538 0.9675
Nb 0.8329 0.3462 0.4675
H 0.0000 0.4843 0.7136
H 0.2006 0.1452 0.8495
H 0.2994 0.8548 0.3495
H 0.5000 0.5157 0.2136
H 0.7006 0.8548 0.3495
H 0.7994 0.1452 0.8495
CELL_PARAMETERS angstrom
8.9426 0.0000 0.0000
0.0000 2.9221 0.0000
0.0000 0.0000 4.8560


(6)
! NbH (PBE-GGA, optimized geometry); values from VASP
! Energy, eV/atom: -6.920
! Symmetry: Fddd (70)
! Crystal system: orthorhombic
&SYSTEM
  ibrav = 0, nat = 8, ntyp = 2
/
ATOMIC_SPECIES
Nb 92.91 Nb.upf
H 1.01 H.upf
ATOMIC_POSITIONS crystal
Nb 0.1186 0.6314 0.6314
Nb 0.3686 0.8814 0.8814
Nb 0.6314 0.1186 0.1186
Nb 0.8814 0.3686 0.3686
H 0.2346 0.5154 0.2346
H 0.4846 0.7654 0.4846
H 0.5154 0.2346 0.5154
H 0.7654 0.4846 0.7654
CELL_PARAMETERS angstrom
0.0000 3.5070 3.5231
3.3849 0.0000 3.5231
3.3849 3.5070 0.0000


(7)
! NbH (PBE-GGA, optimized geometry); values from VASP
! Energy, eV/atom: -6.935
! Symmetry: Cmc2_1 (36)
! Crystal system: orthorhombic
&SYSTEM
  ibrav = 0, nat = 4, ntyp = 2
/
ATOMIC_SPECIES
Nb 92.91 Nb.upf
H 1.01 H.upf
ATOMIC_POSITIONS crystal
Nb 0.2457 0.7543 0.5000
Nb 0.7543 0.2457 0.0000
H 0.3806 0.6194 0.8717
H 0.6194 0.3806 0.3717
CELL_PARAMETERS angstrom
1.7291 -2.4545 0.0000
1.7291 2.4545 0.0000
0.0000 0.0000 4.9473


(8)
! Nd2NbH (PBE-GGA, optimized geometry); values from VASP
! Energy, eV/atom: -5.348
! Symmetry: R-3m (166)
! Crystal system: trigonal
&SYSTEM
  ibrav = 0, nat = 4, ntyp = 3
/
ATOMIC_SPECIES
Nd 144.24 Nd.upf
Nb 92.91 Nb.upf
H 1.01 H.upf
ATOMIC_POSITIONS crystal
Nd 0.1082 0.1082 0.1082
Nd 0.8918 0.8918 0.8918
Nb 0.0000 0.0000 0.0000
H 0.5000 0.5000 0.5000
CELL_PARAMETERS angstrom
1.6229 0.9370 9.2617
-1.6229 0.9370 9.2617
0.0000 -1.8740 9.2617


(9)
! NdNbH3 (PBE-GGA, optimized geometry); values from VASP
! Energy, eV/atom: -5.272
! Symmetry: Pm-3m (221)
! Crystal system: cubic
&SYSTEM
  ibrav = 0, nat = 5, ntyp = 3
/
ATOMIC_SPECIES
Nd 144.24 Nd.upf
Nb 92.91 Nb.upf
H 1.01 H.upf
ATOMIC_POSITIONS crystal
Nd 0.0000 0.0000 0.0000
Nb 0.5000 0.5000 0.5000
H 0.0000 0.5000 0.5000
H 0.5000 0.0000 0.5000
H 0.5000 0.5000 0.0000
CELL_PARAMETERS angstrom
3.8644 0.0000 0.0000
0.0000 3.8644 0.0000
0.0000 0.0000 3.8644


(10)
! NbNi3H (PBE-GGA, optimized geometry); values from VASP
! Energy, eV/atom: -6.152
! Symmetry: Pm-3m (221)
! Crystal system: cubic
&SYSTEM
  ibrav = 0, nat = 5, ntyp = 3
/
ATOMIC_SPECIES
Nb 92.91 Nb.upf
Ni 58.69 Ni.upf
H 1.01 H.upf
ATOMIC_POSITIONS crystal
Nb 0.0000 0.0000 0.0000
Ni 0.0000 0.5000 0.5000
Ni 0.5000 0.0000 0.5000
Ni 0.5000 0.5000 0.0000
H 0.5000 0.5000 0.5000
CELL_PARAMETERS angstrom
3.7531 0.0000 0.0000
0.0000 3.7531 0.0000
0.0000 0.0000 3.7531


(11)
! NbNiH (PBE-GGA, optimized geometry); values from VASP
! Energy, eV/atom: -6.463
! Symmetry: P3m1 (156)
! Crystal system: trigonal
&SYSTEM
  ibrav = 0, nat = 3, ntyp = 3
/
ATOMIC_SPECIES
Nb 92.91 Nb.upf
Ni 58.69 Ni.upf
H 1.01 H.upf
ATOMIC_POSITIONS crystal
Nb 0.0000 0.0000 0.0000
Ni 0.6667 0.3333 0.5135
H 0.3333 0.6667 0.3099
CELL_PARAMETERS angstrom
2.8424 0.0000 0.0000
-1.4212 2.4616 0.0000
0.0000 0.0000 4.5026


(12)
! NbNiH (PBE-GGA, optimized geometry); values from VASP
! Energy, eV/atom: -6.582
! Symmetry: Pmma (51)
! Crystal system: orthorhombic
&SYSTEM
  ibrav = 0, nat = 6, ntyp = 3
/
ATOMIC_SPECIES
Nb 92.91 Nb.upf
Ni 58.69 Ni.upf
H 1.01 H.upf
ATOMIC_POSITIONS crystal
Nb 0.2500 0.0000 0.2380
Nb 0.7500 0.0000 0.7620
Ni 0.2500 0.5000 0.6947
Ni 0.7500 0.5000 0.3053
H 0.2500 0.0000 0.7560
H 0.7500 0.0000 0.2440
CELL_PARAMETERS angstrom
4.1429 0.0000 0.0000
0.0000 3.5718 0.0000
0.0000 0.0000 4.2571


(13)
! Nb3Ni5H12 (PBE-GGA, optimized geometry); values from VASP
! Energy, eV/atom: -5.025
! Symmetry: Ia-3d (230)
! Crystal system: cubic
&SYSTEM
  ibrav = 0, nat = 80, ntyp = 3
/
ATOMIC_SPECIES
Nb 92.91 Nb.upf
Ni 58.69 Ni.upf
H 1.01 H.upf
ATOMIC_POSITIONS crystal
Nb 0.1250 0.2500 0.3750
Nb 0.1250 0.3750 0.7500
Nb 0.2500 0.3750 0.1250
Nb 0.2500 0.8750 0.6250
Nb 0.3750 0.1250 0.2500
Nb 0.3750 0.7500 0.1250
Nb 0.6250 0.2500 0.8750
Nb 0.6250 0.8750 0.7500
Nb 0.7500 0.1250 0.3750
Nb 0.7500 0.6250 0.8750
Nb 0.8750 0.6250 0.2500
Nb 0.8750 0.7500 0.6250
Ni 0.0000 0.0000 0.0000
Ni 0.0000 0.0000 0.5000
Ni 0.0000 0.5000 0.0000
Ni 0.0000 0.5000 0.5000
Ni 0.1250 0.7500 0.8750
Ni 0.1250 0.8750 0.2500
Ni 0.2500 0.1250 0.8750
Ni 0.2500 0.6250 0.3750
Ni 0.3750 0.2500 0.6250
Ni 0.3750 0.6250 0.7500
Ni 0.5000 0.0000 0.0000
Ni 0.5000 0.0000 0.5000
Ni 0.5000 0.5000 0.0000
Ni 0.5000 0.5000 0.5000
Ni 0.6250 0.3750 0.2500
Ni 0.6250 0.7500 0.3750
Ni 0.7500 0.3750 0.6250
Ni 0.7500 0.8750 0.1250
Ni 0.8750 0.1250 0.7500
Ni 0.8750 0.2500 0.1250
H 0.0377 0.2099 0.1264
H 0.0377 0.3278 0.9113
H 0.0835 0.7099 0.6722
H 0.0835 0.8736 0.4113
H 0.0887 0.6264 0.4165
H 0.0887 0.9623 0.6722
H 0.1264 0.0377 0.2099
H 0.1264 0.5887 0.9165
H 0.1722 0.2099 0.5835
H 0.1722 0.4623 0.5887
H 0.2099 0.1264 0.0377
H 0.2099 0.5835 0.1722
H 0.2901 0.3278 0.9165
H 0.2901 0.4623 0.3736
H 0.3278 0.9113 0.0377
H 0.3278 0.9165 0.2901
H 0.3736 0.2901 0.4623
H 0.3736 0.5835 0.9113
H 0.4113 0.0835 0.8736
H 0.4113 0.8278 0.5377
H 0.4165 0.0887 0.6264
H 0.4165 0.8278 0.7901
H 0.4623 0.3736 0.2901
H 0.4623 0.5887 0.1722
H 0.5377 0.4113 0.8278
H 0.5377 0.6264 0.7099
H 0.5835 0.1722 0.2099
H 0.5835 0.9113 0.3736
H 0.5887 0.1722 0.4623
H 0.5887 0.9165 0.1264
H 0.6264 0.4165 0.0887
H 0.6264 0.7099 0.5377
H 0.6722 0.0835 0.7099
H 0.6722 0.0887 0.9623
H 0.7099 0.5377 0.6264
H 0.7099 0.6722 0.0835
H 0.7901 0.4165 0.8278
H 0.7901 0.8736 0.9623
H 0.8278 0.5377 0.4113
H 0.8278 0.7901 0.4165
H 0.8736 0.4113 0.0835
H 0.8736 0.9623 0.7901
H 0.9113 0.0377 0.3278
H 0.9113 0.3736 0.5835
H 0.9165 0.1264 0.5887
H 0.9165 0.2901 0.3278
H 0.9623 0.6722 0.0887
H 0.9623 0.7901 0.8736
CELL_PARAMETERS angstrom
-5.3011 5.3011 5.3011
5.3011 -5.3011 5.3011
5.3011 5.3011 -5.3011


(14)
! NbNi3H3 (PBE-GGA, optimized geometry); values from VASP
! Energy, eV/atom: -5.430
! Symmetry: C2/m (12)
! Crystal system: monoclinic
&SYSTEM
  ibrav = 0, nat = 14, ntyp = 3
/
ATOMIC_SPECIES
Nb 92.91 Nb.upf
Ni 58.69 Ni.upf
H 1.01 H.upf
ATOMIC_POSITIONS crystal
Nb 0.1715 0.1715 0.2222
Nb 0.8285 0.8285 0.7778
Ni 0.1358 0.1358 0.9213
Ni 0.1454 0.1454 0.5248
Ni 0.4737 0.4737 0.3113
Ni 0.5263 0.5263 0.6887
Ni 0.8546 0.8546 0.4752
Ni 0.8642 0.8642 0.0787
H 0.1470 0.1470 0.7133
H 0.3400 0.3400 0.5988
H 0.3491 0.3491 0.9554
H 0.6509 0.6509 0.0446
H 0.6600 0.6600 0.4012
H 0.8530 0.8530 0.2867
CELL_PARAMETERS angstrom
4.7717 -1.3807 0.0000
4.7717 1.3807 0.0000
-2.7823 0.0000 8.8524


(15)
! NbNiH4 (PBE-GGA, optimized geometry); values from VASP
! Energy, eV/atom: -4.904
! Symmetry: P2_1/m (11)
! Crystal system: monoclinic
&SYSTEM
  ibrav = 0, nat = 12, ntyp = 3
/
ATOMIC_SPECIES
Nb 92.91 Nb.upf
Ni 58.69 Ni.upf
H 1.01 H.upf
ATOMIC_POSITIONS crystal
Nb 0.2491 0.2500 0.0571
Nb 0.7509 0.7500 0.9429
Ni 0.2546 0.7500 0.4116
Ni 0.7454 0.2500 0.5884
H 0.2459 0.2500 0.4872
H 0.2501 0.5848 0.1418
H 0.2501 0.9152 0.1418
H 0.2510 0.7500 0.7321
H 0.7490 0.2500 0.2679
H 0.7499 0.0848 0.8582
H 0.7499 0.4152 0.8582
H 0.7541 0.7500 0.5128
CELL_PARAMETERS angstrom
3.1082 0.0000 0.0000
0.0000 5.7126 0.0000
-0.0060 0.0000 5.0049


(16)
! Nb2NiH6 (PBE-GGA, optimized geometry); values from VASP
! Energy, eV/atom: -5.222
! Symmetry: C2/m (12)
! Crystal system: monoclinic
&SYSTEM
  ibrav = 0, nat = 9, ntyp = 3
/
ATOMIC_SPECIES
Nb 92.91 Nb.upf
Ni 58.69 Ni.upf
H 1.01 H.upf
ATOMIC_POSITIONS crystal
Nb 0.1667 0.1667 0.1668
Nb 0.8333 0.8333 0.8332
Ni 0.5000 0.5000 0.5000
H 0.0998 0.5884 0.3439
H 0.2674 0.7326 0.0000
H 0.4116 0.9002 0.6561
H 0.5884 0.0998 0.3439
H 0.7326 0.2674 0.0000
H 0.9002 0.4116 0.6561
CELL_PARAMETERS angstrom
4.9239 -2.2120 0.0000
4.9239 2.2120 0.0000
-1.0340 0.0000 3.0304


(17)
! NbNi2H2 (PBE-GGA, optimized geometry); values from VASP
! Energy, eV/atom: -5.699
! Symmetry: P4/mbm (127)
! Crystal system: tetragonal
&SYSTEM
  ibrav = 0, nat = 10, ntyp = 3
/
ATOMIC_SPECIES
Nb 92.91 Nb.upf
Ni 58.69 Ni.upf
H 1.01 H.upf
ATOMIC_POSITIONS crystal
Nb 0.0000 0.0000 0.0000
Nb 0.5000 0.5000 0.0000
Ni 0.1630 0.3370 0.5000
Ni 0.3370 0.8370 0.5000
Ni 0.6630 0.1630 0.5000
Ni 0.8370 0.6630 0.5000
H 0.1480 0.3520 0.0000
H 0.3520 0.8520 0.0000
H 0.6480 0.1480 0.0000
H 0.8520 0.6480 0.0000
CELL_PARAMETERS angstrom
5.1982 0.0000 0.0000
0.0000 5.1982 0.0000
0.0000 0.0000 3.5430


(18)
! NbNiH (PBE-GGA, optimized geometry); values from VASP
! Energy, eV/atom: -6.614
! Symmetry: P4/nmm (129)
! Crystal system: tetragonal
&SYSTEM
  ibrav = 0, nat = 6, ntyp = 3
/
ATOMIC_SPECIES
Nb 92.91 Nb.upf
Ni 58.69 Ni.upf
H 1.01 H.upf
ATOMIC_POSITIONS crystal
Nb 0.2500 0.2500 0.1954
Nb 0.7500 0.7500 0.8046
Ni 0.2500 0.2500 0.5898
Ni 0.7500 0.7500 0.4102
H 0.2500 0.7500 0.0000
H 0.7500 0.2500 0.0000
CELL_PARAMETERS angstrom
3.0793 0.0000 0.0000
0.0000 3.0793 0.0000
0.0000 0.0000 6.7490


(19)
! NbNiH (PBE-GGA, optimized geometry); values from VASP
! Energy, eV/atom: -6.571
! Symmetry: Cm (8)
! Crystal system: monoclinic
&SYSTEM
  ibrav = 0, nat = 6, ntyp = 3
/
ATOMIC_SPECIES
Nb 92.91 Nb.upf
Ni 58.69 Ni.upf
H 1.01 H.upf
ATOMIC_POSITIONS crystal
Nb 0.0000 0.0000 0.0000
Nb 0.6709 0.6709 0.5117
Ni 0.2737 0.2737 0.0022
Ni 0.4038 0.4038 0.5085
H 0.6492 0.6492 0.0114
H 0.8468 0.8468 0.2936
CELL_PARAMETERS angstrom
5.2700 -1.3609 0.0000
5.2700 1.3609 0.0000
-0.0962 0.0000 4.3207


(20)
! NbNiH (PBE-GGA, optimized geometry); values from VASP
! Energy, eV/atom: -6.557
! Symmetry: C2/m (12)
! Crystal system: monoclinic
&SYSTEM
  ibrav = 0, nat = 6, ntyp = 3
/
ATOMIC_SPECIES
Nb 92.91 Nb.upf
Ni 58.69 Ni.upf
H 1.01 H.upf
ATOMIC_POSITIONS crystal
Nb 0.1042 0.1042 0.3198
Nb 0.8958 0.8958 0.6802
Ni 0.3574 0.3574 0.1587
Ni 0.6426 0.6426 0.8413
H 0.2506 0.2506 0.7605
H 0.7494 0.7494 0.2395
CELL_PARAMETERS angstrom
4.9395 -1.3749 0.0000
4.9395 1.3749 0.0000
-1.4297 0.0000 4.5643


The evaluated N(E_F) for the records listed, in turn: 0.85 0.48 0.73 0.37 0.44 0.55 0.54 4.71 2.01 4.88 1.48 1.25 9.53 3.22 2.12 3.14 2.90 1.72 1.82 1.98 states/eV/f.u..
The evaluated size of the total moment for the records listed, in turn: 0.0 0.0 0.0 0.0 0.0 0.0 0.0 0.0 0.0 2.0 0.0 0.0 0.0 0.0 0.0 0.0 0.0 0.0 0.0 0.0 Bohr magnetons per cell.